Compound: RbV2Ru
Source: Alexandria via LeMat-Bulk
Functional: PBE
Structure: optimized geometry

POSCAR file:
```
RbV2Ru
1.0
0.000 3.314 3.314
3.314 0.000 3.314
3.314 3.314 0.000
Rb Ru V
1 1 2
Direct
0.000 0.000 0.000 Rb
0.500 0.500 0.500 Ru
0.250 0.250 0.250 V
0.750 0.750 0.750 V
```

Properties
* electronic total energy: -22.64 eV per cell
* SG: No. 225
* magnetization: 0.974 μB/atom
* formation energy from the elements: 1459 meV/atom
* crystal system: cubic